Here is a PBEsol-optimized structure of MnRuAuF2 from Alexandria via LeMat-Bulk. Energies are from SCAN.

```
MnRuAuF2
1.0
3.896 0.000 0.000
0.000 3.896 0.000
0.000 0.000 5.329
Mn Ru Au F
1 1 1 2
Direct
0.000 0.000 0.000 Mn
0.500 0.500 0.500 Ru
0.500 0.500 0.000 Au
0.000 0.500 0.500 F
0.500 0.000 0.500 F
```

SG ... No. 123
E_tot ... -132.7 eV per formula unit
DOS at the Fermi energy ... 2.494 states/eV/cell
ΔE_f (raw) ... -65.83 kJ per mole of atoms

***

Here is a PBEsol-optimized structure of MoPdAuF2 from Alexandria via LeMat-Bulk. Energies are from SCAN.

```
MoPdAuF2
1.0
3.943 0.000 0.000
0.000 3.943 0.000
0.000 0.000 5.412
Mo Pd Au F
1 1 1 2
Direct
0.000 0.000 0.000 Mo
0.000 0.000 0.500 Pd
0.500 0.500 0.000 Au
0.000 0.500 0.500 F
0.500 0.000 0.500 F
```

SG ... No. 123
E_tot ... -144.5 eV per formula unit
DOS at the Fermi energy ... 1.961 states/eV/cell
ΔE_f (raw) ... -11.98 kJ per mole of atoms